Entry 1:
Density functional theory data (PBE) for SrAgPb2 after structural relaxation.

a = 3.833 Å, b = 4.964 Å, c = 6.421 Å
α = 90.00°, β = 99.89°, γ = 90.00°
Space group P2/m (No. 10)
Symmetry-distinct sites (fractional):
Sr1 0.000 0.000 0.000
Ag1 0.500 0.000 0.500
Pb1 0.348 0.500 0.723

## Properties
The density of states at the Fermi level comes out at 1.834 states/eV per cell. For the energy relative to the elements, the calculation gives -0.8 eV per formula unit. For the total energy, the calculation gives -12.79 eV per formula unit. The total moment is 0.0 μB per formula unit.

***

Entry 2:
Density functional theory data (PBE) for LiNdHoCr after structural relaxation.

a = 7.288 Å, b = 7.288 Å, c = 7.288 Å
α = 90.00°, β = 90.00°, γ = 90.00°
Space group F-43m (No. 216)
Symmetry-distinct sites (fractional):
Li1 0.000 0.000 0.000
Nd1 0.250 0.250 0.250
Ho1 0.250 0.250 0.750
Cr1 0.000 0.000 0.500

## Properties
The density of states at the Fermi level comes out at 13.792 states/eV per cell. For the energy relative to the elements, the calculation gives 0.8 eV per formula unit. For the total energy, the calculation gives -20.09 eV per formula unit. The total moment is 3.1 μB per formula unit.

***

Entry 3:
Density functional theory data (PBE) for Ac6Ir2OsBr3 after structural relaxation.

a = 7.535 Å, b = 13.052 Å, c = 8.613 Å
α = 90.00°, β = 106.96°, γ = 90.00°
Space group C2/m (No. 12)
Symmetry-distinct sites (fractional):
Ac1 0.229 0.165 0.194
Ac2 0.235 0.500 0.194
Ir1 0.000 0.333 0.000
Os1 0.000 0.000 0.000
Br1 0.000 0.165 0.500
Br2 0.000 0.500 0.500

## Properties
The density of states at the Fermi level comes out at 7.242 states/eV per cell. The uncorrected formation energy is -1041 meV per atom. For the total energy, the calculation gives -71.12 eV per formula unit. The total moment is 0.0 μB per formula unit.

***

Entry 4:
Density functional theory data (PBE) for KRb2As after structural relaxation.

a = 5.492 Å, b = 5.492 Å, c = 23.856 Å
α = 90.00°, β = 90.00°, γ = 90.00°
Space group I-42d (No. 122)
Symmetry-distinct sites (fractional):
K1 0.000 0.000 0.000
Rb1 0.219 0.250 0.625
As1 0.000 0.000 0.500

## Properties
The density of states at the Fermi level comes out at 3.009 states/eV per cell. For the energy relative to the elements, the calculation gives 0.0 eV per formula unit. For the total energy, the calculation gives -7.65 eV per formula unit. The total moment is 0.0 μB per formula unit.

***

Entry 5:
Density functional theory data (PBE) for Na2PuSeO6 after structural relaxation.

a = 5.752 Å, b = 5.752 Å, c = 4.288 Å
α = 90.00°, β = 90.00°, γ = 90.00°
Space group P4mm (No. 99)
Symmetry-distinct sites (fractional):
Na1 0.000 0.500 0.000
Pu1 0.000 0.000 0.558
Se1 0.500 0.500 0.526
O1 0.000 0.000 0.061
O2 0.250 0.250 0.569
O3 0.500 0.500 0.136

## Properties
The density of states at the Fermi level comes out at 3.001 states/eV per cell. The uncorrected formation energy is -1720 meV per atom. For the total energy, the calculation gives -67.40 eV per formula unit. The total moment is 2.0 μB per formula unit.

***

Entry 6:
Density functional theory data (PBE) for Sr2LiCd6Ga after structural relaxation.

a = 7.131 Å, b = 7.390 Å, c = 10.310 Å
α = 90.00°, β = 90.00°, γ = 90.00°
Space group Immm (No. 71)
Symmetry-distinct sites (fractional):
Sr1 0.000 0.000 0.207
Li1 0.000 0.500 0.000
Cd1 0.000 0.500 0.240
Cd2 0.217 0.203 0.500
Ga1 0.000 0.500 0.500

## Properties
The density of states at the Fermi level comes out at 6.367 states/eV per cell. For the energy relative to the elements, the calculation gives -1.4 eV per formula unit. For the total energy, the calculation gives -15.18 eV per formula unit. The total moment is 0.0 μB per formula unit.

***

Entry 7:
Density functional theory data (PBE) for CsScReO6 after structural relaxation.

a = 5.493 Å, b = 9.745 Å, c = 6.392 Å
α = 90.00°, β = 90.70°, γ = 90.00°
Space group C2 (No. 5)
Symmetry-distinct sites (fractional):
Cs1 0.000 0.000 0.000
Sc1 0.000 0.682 0.500
Re1 0.000 0.322 0.500
O1 0.106 0.490 0.640
O2 0.189 0.219 0.684
O3 0.234 0.799 0.680

## Properties
The uncorrected formation energy is -2003 meV per atom. For the total energy, the calculation gives -67.41 eV per formula unit. The total moment is 1.0 μB per formula unit.

***

Entry 8:
Density functional theory data (PBE) for La2AlB after structural relaxation.

a = 7.983 Å, b = 7.983 Å, c = 6.519 Å
α = 90.00°, β = 90.00°, γ = 90.00°
Space group I-42d (No. 122)
Symmetry-distinct sites (fractional):
La1 0.181 0.250 0.125
Al1 0.000 0.000 0.500
B1 0.000 0.000 0.000

## Properties
The density of states at the Fermi level comes out at 18.668 states/eV per cell. For the energy relative to the elements, the calculation gives 1.1 eV per formula unit. For the total energy, the calculation gives -19.18 eV per formula unit. The total moment is 0.0 μB per formula unit.

***

Question: Which value of total moment does entry 7 give?
Answer: 1.0 μB per formula unit